1.
The following is a DFT calculation (PBE) of ErZr2As3 after structural relaxation.

Cell lengths 3.9409, 3.9409, 9.5986 Å; angles 90.00, 90.00, 120.00 degrees
Closest atoms and distances in Å follow each position.
Atoms (fractional coordinates):
1 As 0.3333 0.6667 0.3228  3 Zr 2.79, 3 Er 2.84
2 As 0.0000 0.0000 0.0000  6 Zr 2.72
3 As 0.6667 0.3333 0.6772  3 Zr 2.79, 3 Er 2.84
4 Zr 0.6667 0.3333 0.1546  6 As 2.72-2.79
5 Zr 0.3333 0.6667 0.8454  6 As 2.72-2.79
6 Er 0.0000 0.0000 0.5000  6 As 2.84

Energy, eV for the cell shown: -43.1
Crystal system: trigonal
SG: P-3m1

***

2.
The following is a DFT calculation (PBE) of HgAs2HF13 after structural relaxation.

Cell lengths 8.7338, 8.8010, 9.8661 Å; angles 90.00, 104.75, 90.00 degrees
Closest atoms and distances in Å follow each position.
Atoms (fractional coordinates):
1 Hg 0.7386 0.2048 0.4927  8 F 2.32-2.59
2 Hg 0.2614 0.7952 0.5073  8 F 2.32-2.59
3 Hg 0.7386 0.2952 0.9927  8 F 2.32-2.59
4 Hg 0.2614 0.7048 0.0073  8 F 2.32-2.59
5 F 0.4851 0.8219 0.6914  1 As 1.78
6 F 0.9203 0.5453 0.3110  1 H 1.74, 1 As 1.75
7 F 0.6555 0.3860 0.2128  1 As 1.80
8 F 0.8915 0.9684 0.5492  1 As 1.75
9 F 0.6555 0.1140 0.7128  1 As 1.80
10 F 0.5831 0.9384 0.1983  1 As 1.71
11 F 0.0224 0.7863 0.0595  1 As 1.79
12 F 0.0224 0.7137 0.5595  1 As 1.79
13 F 0.0375 0.8003 0.3147  1 As 1.77
14 F 0.9203 0.9547 0.8110  1 H 1.74, 1 As 1.75
15 F 0.3943 0.0475 0.5414  1 As 1.75
16 F 0.7826 0.7548 0.1411  1 As 1.72
17 F 0.0375 0.6997 0.8147  1 As 1.77
18 F 0.0797 0.4547 0.6890  1 H 1.74, 1 As 1.75
19 F 0.1085 0.0316 0.4508  1 As 1.75
20 F 0.8443 0.4141 0.7859  1 As 1.77
21 F 0.6057 0.9525 0.4586  1 As 1.75
22 F 0.7331 0.7616 0.8720  1 As 1.73
23 F 0.7331 0.7384 0.3720  1 As 1.73
24 F 0.5149 0.3219 0.8086  1 As 1.78
25 F 0.1557 0.5859 0.2141  1 As 1.77
26 F 0.2439 0.5272 0.5051  1 H 0.96
27 F 0.4869 0.8064 0.9438  1 As 1.79
28 F 0.2669 0.2616 0.6280  1 As 1.73
29 F 0.3943 0.4525 0.0414  1 As 1.75
30 F 0.2669 0.2384 0.1280  1 As 1.73
31 F 0.5131 0.1936 0.0562  1 As 1.79
32 F 0.3445 0.8860 0.2872  1 As 1.80
33 F 0.2439 0.9728 0.0051  1 H 0.96
34 F 0.9776 0.2863 0.4405  1 As 1.79
35 F 0.8915 0.5316 0.0492  1 As 1.75
36 F 0.7561 0.0272 0.9949  1 H 0.96
37 F 0.8443 0.0859 0.2859  1 As 1.77
38 F 0.5131 0.3064 0.5562  1 As 1.79
39 F 0.2174 0.2548 0.3589  1 As 1.72
40 F 0.1557 0.9141 0.7141  1 As 1.77
41 F 0.2174 0.2452 0.8589  1 As 1.72
42 F 0.9625 0.1997 0.6853  1 As 1.77
43 F 0.9776 0.2137 0.9405  1 As 1.79
44 F 0.7561 0.4728 0.4949  1 H 0.96
45 F 0.0797 0.0453 0.1890  1 H 1.74, 1 As 1.75
46 F 0.7826 0.7452 0.6411  1 As 1.72
47 F 0.3445 0.6140 0.7872  1 As 1.80
48 F 0.9625 0.3003 0.1853  1 As 1.77
49 F 0.4169 0.4384 0.3017  1 As 1.71
50 F 0.5149 0.1781 0.3086  1 As 1.78
51 F 0.5831 0.5616 0.6983  1 As 1.71
52 F 0.4169 0.0616 0.8017  1 As 1.71
53 F 0.4869 0.6936 0.4438  1 As 1.79
54 F 0.6057 0.5475 0.9586  1 As 1.75
55 F 0.1085 0.4684 0.9508  1 As 1.75
56 F 0.4851 0.6781 0.1914  1 As 1.78
57 H 0.8002 0.5212 0.4260  1 F 0.96
58 H 0.8002 0.9788 0.9260  1 F 0.96
59 H 0.1998 0.0212 0.0740  1 F 0.96
60 H 0.1998 0.4788 0.5740  1 F 0.96
61 As 0.0371 0.3357 0.8174  6 F 1.72-1.79
62 As 0.0371 0.1643 0.3174  6 F 1.72-1.79
63 As 0.9629 0.8357 0.6826  6 F 1.72-1.79
64 As 0.5460 0.8189 0.3235  6 F 1.71-1.80
65 As 0.4540 0.3189 0.1765  6 F 1.71-1.80
66 As 0.9629 0.6643 0.1826  6 F 1.72-1.79
67 As 0.4540 0.1811 0.6765  6 F 1.71-1.80
68 As 0.5460 0.6811 0.8235  6 F 1.71-1.80

Energy, eV for the cell shown: -272.4
Crystal system: monoclinic
SG: P2_1/c

***

3.
The following is a DFT calculation (PBE) of HgAs2H2F14 after structural relaxation.

Cell lengths 4.7130, 6.1686, 7.1560 Å; angles 85.15, 78.04, 79.64 degrees
Closest atoms and distances in Å follow each position.
Atoms (fractional coordinates):
1 F 0.6531 0.1443 0.3854  1 As 1.73
2 F 0.5975 0.4620 0.6723  1 As 1.72
3 F 0.9517 0.6046 0.8283  1 H 1.36
4 F 0.2206 0.2437 0.8198  1 H 1.00
5 F 0.0960 0.2646 0.5039  1 As 1.71
6 F 0.3470 0.8557 0.6146  1 As 1.73
7 F 0.7794 0.7563 0.1802  1 H 1.00
8 F 0.7177 0.9851 0.7625  1 As 1.79
9 F 0.4222 0.7140 0.9399  1 As 1.80
10 F 0.2823 0.0149 0.2375  1 As 1.79
11 F 0.4025 0.5380 0.3277  1 As 1.72
12 F 0.9040 0.7354 0.4961  1 As 1.71
13 F 0.5778 0.2860 0.0601  1 As 1.80
14 F 0.0483 0.3954 0.1717  1 H 1.36
15 As 0.3500 0.2753 0.2952  6 F 1.71-1.84
16 As 0.6500 0.7247 0.7048  6 F 1.71-1.84
17 H 0.1012 0.3953 0.8152  1 F 1.00
18 H 0.8988 0.6047 0.1848  1 F 1.00
19 Hg 0.0000 0.0000 0.0000  6 F 2.16-2.40

Energy, eV for the cell shown: -76.5
Crystal system: triclinic
SG: P-1

***

4.
The following is a DFT calculation (PBE) of Hg2As5H6O2F31 after structural relaxation.

Cell lengths 10.2679, 10.2489, 9.2672 Å; angles 90.00, 109.59, 90.00 degrees
Closest atoms and distances in Å follow each position.
Atoms (fractional coordinates):
1 F 0.2728 0.3621 0.7467  1 As 1.73
2 F 0.8247 0.6925 0.9480  1 As 1.73
3 F 0.7447 0.9995 0.5233  1 As 1.71
4 F 0.0000 0.0000 0.5000  2 Hg 2.10
5 F 0.6440 0.1112 0.6956  1 As 1.73
6 F 0.0285 0.8308 0.0063  1 As 1.76
7 F 0.0562 0.4947 0.7025  1 As 1.77
8 F 0.8310 0.9845 0.9996  1 As 1.74
9 F 0.6487 0.8016 0.0502  1 H 1.43
10 F 0.5779 0.6810 0.7820  1 As 1.74
11 F 0.1030 0.2974 0.2795  1 As 1.77
12 F 0.2728 0.1379 0.2467  1 As 1.73
13 F 0.8970 0.7026 0.7205  1 As 1.77
14 F 0.2561 0.4782 0.2646  1 As 1.77
15 F 0.3754 0.6852 0.4593  1 H 1.68, 1 As 1.77
16 F 0.9438 0.5053 0.2975  1 As 1.77
17 F 0.1753 0.1925 0.5520  1 As 1.73
18 F 0.4221 0.1810 0.7180  1 As 1.74
19 F 0.1514 0.7940 0.3523  1 As 1.81
20 F 0.2553 0.0005 0.4767  1 As 1.71
21 F 0.8970 0.7974 0.2205  1 As 1.77
22 F 0.2561 0.0218 0.7646  1 As 1.77
23 F 0.9715 0.1692 0.9937  1 As 1.76
24 F 0.9715 0.3308 0.4937  1 As 1.76
25 F 0.6246 0.1852 0.0407  1 H 1.68, 1 As 1.77
26 F 0.7226 0.1996 0.3691  1 As 1.77
27 F 0.2774 0.6996 0.1309  1 As 1.77
28 F 0.0285 0.6692 0.5063  1 As 1.76
29 F 0.1753 0.3075 0.0520  1 As 1.73
30 F 0.7447 0.5005 0.0233  1 As 1.71
31 F 0.3754 0.8148 0.9593  1 H 1.68, 1 As 1.77
32 F 0.5779 0.8190 0.2820  1 As 1.74
33 F 0.3513 0.1984 0.9498  1 H 1.43
34 F 0.4221 0.3190 0.2180  1 As 1.74
35 F 0.5142 0.1047 0.4118  1 H 1.70, 1 As 1.75
36 F 0.7439 0.9782 0.2354  1 As 1.77
37 F 0.1030 0.2026 0.7795  1 As 1.77
38 F 0.6246 0.3148 0.5407  1 H 1.68, 1 As 1.77
39 F 0.7439 0.5218 0.7354  1 As 1.77
40 F 0.3560 0.6112 0.8044  1 As 1.73
41 F 0.2774 0.8004 0.6309  1 As 1.77
42 F 0.3513 0.3016 0.4498  1 H 1.43
43 F 0.9438 0.9947 0.7975  1 As 1.77
44 F 0.3560 0.8888 0.3044  1 As 1.73
45 F 0.7272 0.8621 0.7533  1 As 1.73
46 F 0.8486 0.2060 0.6477  1 As 1.81
47 F 0.8486 0.2940 0.1477  1 As 1.81
48 F 0.0562 0.0053 0.2025  1 As 1.77
49 F 0.4858 0.6047 0.0882  1 H 1.70, 1 As 1.75
50 F 0.6487 0.6984 0.5502  1 H 1.43
51 F 0.4858 0.8953 0.5882  1 H 1.70, 1 As 1.75
52 F 0.7226 0.3004 0.8691  1 As 1.77
53 F 0.2553 0.4995 0.9767  1 As 1.71
54 F 0.6440 0.3888 0.1956  1 As 1.73
55 F 0.1690 0.0155 0.0004  1 As 1.74
56 F 0.1690 0.4845 0.5004  1 As 1.74
57 F 0.0000 0.5000 0.0000  2 Hg 2.10
58 F 0.5142 0.3953 0.9118  1 H 1.70, 1 As 1.75
59 F 0.8310 0.5155 0.4996  1 As 1.74
60 F 0.7272 0.6379 0.2533  1 As 1.73
61 F 0.8247 0.8075 0.4480  1 As 1.73
62 F 0.1514 0.7060 0.8523  1 As 1.81
63 As 0.0000 0.5000 0.5000  6 F 1.74-1.77
64 As 0.0000 0.0000 0.0000  6 F 1.74-1.77
65 As 0.6786 0.3483 0.0310  6 F 1.71-1.81
66 As 0.2637 0.1939 0.7476  6 F 1.73-1.79
67 As 0.7363 0.6939 0.7524  6 F 1.73-1.79
68 As 0.7363 0.8061 0.2524  6 F 1.73-1.79
69 As 0.6786 0.1517 0.5310  6 F 1.71-1.81
70 As 0.3214 0.8483 0.4690  6 F 1.71-1.81
71 As 0.3214 0.6517 0.9690  6 F 1.71-1.81
72 As 0.2637 0.3061 0.2476  6 F 1.73-1.79
73 H 0.5872 0.0653 0.9101  1 O 0.99
74 H 0.4128 0.9347 0.0899  1 O 0.99
75 H 0.4613 0.0374 0.2336  1 O 1.00
76 H 0.5387 0.9626 0.7664  1 O 1.00
77 H 0.5387 0.5374 0.2664  1 O 1.00
78 H 0.4039 0.4071 0.5547  1 O 1.02
79 H 0.5872 0.4347 0.4101  1 O 0.99
80 H 0.5961 0.5929 0.4453  1 O 1.02
81 H 0.4613 0.4626 0.7336  1 O 1.00
82 H 0.4128 0.5653 0.5899  1 O 0.99
83 H 0.4039 0.0929 0.0547  1 O 1.02
84 H 0.5961 0.9071 0.9453  1 O 1.02
85 Hg 0.0592 0.6424 0.1722  2 F 2.10-2.24
86 Hg 0.9408 0.3576 0.8278  2 F 2.10-2.24
87 Hg 0.9408 0.1424 0.3278  2 F 2.10-2.24
88 Hg 0.0592 0.8576 0.6722  2 F 2.10-2.24
89 O 0.5438 0.9794 0.8739  3 H 0.99-1.02
90 O 0.4562 0.0206 0.1261  3 H 0.99-1.02
91 O 0.4562 0.4794 0.6261  3 H 0.99-1.02
92 O 0.5438 0.5206 0.3739  3 H 0.99-1.02

Energy, eV for the cell shown: -385.0
Crystal system: monoclinic
SG: P2_1/c